No. 1
Computed, not measured: PS2IN after structural relaxation at the PBE-GGA level of DFT.

Properties
VASP energy (eV per formula unit): -17.03
Energy above the lowest structure with this stoichiometry (kJ/mol of formula units): 234
V (Å³ per cell): 82.3
ρ (kg/m³): 4764
Raw formation energy (eV/atom): 1.3014

a = 4.422 Å, b = 4.422 Å, c = 4.207 Å
α = 90.00°, β = 90.00°, γ = 90.00°
Positions (direct):
P 0.000 0.000 0.000
S 0.000 0.500 0.500
S 0.500 0.000 0.500
I 0.500 0.500 0.000
N 0.000 0.000 0.500

No. 2
Computed, not measured: LaAlTl2Au after structural relaxation at the PBE-GGA level of DFT.

Properties
VASP energy (eV per formula unit): -11.71
V (Å³ per cell): 220.5
ρ (kg/m³): 5812

a = 6.175 Å, b = 6.175 Å, c = 5.781 Å
α = 90.00°, β = 90.00°, γ = 90.00°
Positions (direct):
La 0.000 0.000 0.000
Al 0.000 0.000 0.500
Tl 0.000 0.500 0.000
Tl 0.500 0.000 0.000
Au 0.500 0.500 0.500

No. 3
Computed, not measured: PrYP2O8 after structural relaxation at the PBE-GGA level of DFT.

Properties
VASP energy (eV per formula unit): -96.49
V (Å³ per cell): 174.2
ρ (kg/m³): 4001
Raw formation energy (eV/atom): -2.8965

a = 5.281 Å, b = 5.281 Å, c = 7.214 Å
α = 90.00°, β = 90.00°, γ = 120.00°
Positions (direct):
Pr 0.000 0.000 0.000
Y 0.000 0.000 0.500
P 0.333 0.667 0.794
P 0.667 0.333 0.206
O 0.174 0.347 0.720
O 0.174 0.826 0.720
O 0.333 0.667 0.006
O 0.347 0.174 0.280
O 0.653 0.826 0.720
O 0.667 0.333 0.994
O 0.826 0.174 0.280
O 0.826 0.653 0.280

No. 4
Computed, not measured: Sc2CdAg after structural relaxation at the PBE-GGA level of DFT.

Properties
VASP energy (eV per formula unit): -17.54
V (Å³ per cell): 84.8
ρ (kg/m³): 6076

a = 3.469 Å, b = 3.504 Å, c = 6.973 Å
α = 90.00°, β = 90.12°, γ = 90.00°
Positions (direct):
Sc 0.000 0.000 0.239
Sc 0.000 0.000 0.761
Cd 0.500 0.500 0.500
Ag 0.500 0.500 0.000

No. 5
Computed, not measured: KErP after structural relaxation at the PBE-GGA level of DFT.

Properties
VASP energy (eV per formula unit): -10.04
V (Å³ per cell): 158.0
ρ (kg/m³): 2494

a = 5.565 Å, b = 5.565 Å, c = 5.103 Å
α = 90.00°, β = 90.00°, γ = 90.00°
Positions (direct):
K 0.000 0.000 0.000
Er 0.500 0.500 0.000
P 0.500 0.500 0.500

No. 6
Computed, not measured: PrSc5Cd6 after structural relaxation at the PBE-GGA level of DFT.

Properties
VASP energy (eV per formula unit): -45.20
V (Å³ per cell): 280.2
ρ (kg/m³): 6165

a = 8.786 Å, b = 8.786 Å, c = 8.786 Å
α = 146.64°, β = 130.66°, γ = 60.87°
Positions (direct):
Pr 0.000 0.000 0.000
Sc 0.162 0.662 0.500
Sc 0.330 0.330 0.000
Sc 0.500 0.000 0.500
Sc 0.670 0.670 0.000
Sc 0.838 0.338 0.500
Cd 0.091 0.827 0.265
Cd 0.276 0.500 0.776
Cd 0.438 0.173 0.265
Cd 0.562 0.827 0.735
Cd 0.724 0.500 0.224
Cd 0.909 0.173 0.735

No. 7
Computed, not measured: CsCu2PbCl6 after structural relaxation at the PBE-GGA level of DFT.

Properties
VASP energy (eV per formula unit): -33.60
V (Å³ per cell): 657.2
ρ (kg/m³): 3436
Raw formation energy (eV/atom): -0.9770

a = 8.904 Å, b = 8.904 Å, c = 9.111 Å
α = 100.59°, β = 100.59°, γ = 106.94°
Positions (direct):
Cs 0.148 0.852 0.750
Cs 0.852 0.148 0.250
Cu 0.114 0.376 0.728
Cu 0.376 0.114 0.228
Cu 0.624 0.886 0.772
Cu 0.886 0.624 0.272
Pb 0.437 0.563 0.250
Pb 0.563 0.437 0.750
Cl 0.102 0.558 0.301
Cl 0.208 0.213 0.104
Cl 0.213 0.208 0.604
Cl 0.332 0.553 0.912
Cl 0.442 0.898 0.199
Cl 0.447 0.668 0.588
Cl 0.553 0.332 0.412
Cl 0.558 0.102 0.801
Cl 0.668 0.447 0.088
Cl 0.787 0.792 0.396
Cl 0.792 0.787 0.896
Cl 0.898 0.442 0.699